Entry 1:
First-principles (GGA-PBE) data for crystalline NbPd3Se at its relaxed geometry, as listed in Alexandria.

abc: 4.8629 4.8629 4.8629
angles: 90.00 90.00 90.00
Positions (direct):
Nb 0.0000 0.0000 0.0000
Pd 0.0000 0.0000 0.5000
Pd 0.0000 0.5000 0.0000
Pd 0.5000 0.0000 0.0000
Se 0.5000 0.5000 0.5000

E_tot	-4.8405	eV per atom
energy relative to the elements, uncorrected	0.986	eV/atom
energy relative to the lowest polymorph listed for this composition	504	meV/atom
space group	No. 221

Entry 2:
First-principles (GGA-PBE) data for crystalline Nb2Pd3Se8 at its relaxed geometry, as listed in Alexandria.

abc: 11.1646 15.5008 3.6212
angles: 90.00 90.00 90.00
Positions (direct):
Nb 0.1942 0.1242 0.0000
Nb 0.3058 0.6242 0.0000
Nb 0.6942 0.3758 0.0000
Nb 0.8058 0.8758 0.0000
Pd 0.0000 0.0000 0.5000
Pd 0.1467 0.7256 0.5000
Pd 0.3533 0.2256 0.5000
Pd 0.5000 0.5000 0.5000
Pd 0.6467 0.7744 0.5000
Pd 0.8533 0.2744 0.5000
Se 0.0269 0.1579 0.5000
Se 0.0741 0.6277 0.0000
Se 0.2214 0.0017 0.5000
Se 0.2263 0.2889 0.0000
Se 0.2737 0.7889 0.0000
Se 0.2786 0.5017 0.5000
Se 0.4259 0.1277 0.0000
Se 0.4731 0.6579 0.5000
Se 0.5269 0.3421 0.5000
Se 0.5741 0.8723 0.0000
Se 0.7214 0.4983 0.5000
Se 0.7263 0.2111 0.0000
Se 0.7737 0.7111 0.0000
Se 0.7786 0.9983 0.5000
Se 0.9259 0.3723 0.0000
Se 0.9731 0.8421 0.5000

E_tot	-5.5232	eV per atom
energy relative to the elements, uncorrected	-0.631	eV/atom
space group	No. 55

Entry 3:
First-principles (GGA-PBE) data for crystalline NbPd3Se4 at its relaxed geometry, as listed in Alexandria.

abc: 7.7011 6.7416 6.7441
angles: 90.00 90.00 90.00
Positions (direct):
Nb 0.0000 0.1269 0.0000
Nb 0.5000 0.8731 0.5000
Pd 0.0000 0.8402 0.3655
Pd 0.1942 0.7118 0.0086
Pd 0.3058 0.2882 0.5086
Pd 0.5000 0.1598 0.8655
Pd 0.6942 0.2882 0.5086
Pd 0.8058 0.7118 0.0086
Se 0.0000 0.2103 0.3626
Se 0.0000 0.8430 0.7505
Se 0.2203 0.3498 0.8586
Se 0.2797 0.6502 0.3586
Se 0.5000 0.1570 0.2505
Se 0.5000 0.7897 0.8626
Se 0.7203 0.6502 0.3586
Se 0.7797 0.3498 0.8586

E_tot	-5.2888	eV per atom
energy relative to the elements, uncorrected	-0.340	eV/atom
space group	No. 31

Entry 4:
First-principles (GGA-PBE) data for crystalline Nb3PdSe6 at its relaxed geometry, as listed in Alexandria.

abc: 7.6177 7.6177 7.6177
angles: 90.05 90.05 90.05
Positions (direct):
Nb 0.1534 0.6686 0.5253
Nb 0.3314 0.4747 0.8466
Nb 0.4747 0.8466 0.3314
Nb 0.5253 0.1534 0.6686
Nb 0.6686 0.5253 0.1534
Nb 0.8466 0.3314 0.4747
Pd 0.0000 0.0000 0.0000
Pd 0.5000 0.5000 0.5000
Se 0.0563 0.6913 0.8427
Se 0.1573 0.9437 0.3087
Se 0.1799 0.3339 0.5668
Se 0.3087 0.1573 0.9437
Se 0.3339 0.5668 0.1799
Se 0.4332 0.8201 0.6661
Se 0.5668 0.1799 0.3339
Se 0.6661 0.4332 0.8201
Se 0.6913 0.8427 0.0563
Se 0.8201 0.6661 0.4332
Se 0.8427 0.0563 0.6913
Se 0.9437 0.3087 0.1573

E_tot	-6.1364	eV per atom
energy relative to the elements, uncorrected	-0.505	eV/atom
space group	No. 148

Entry 5:
First-principles (GGA-PBE) data for crystalline NbSnPd2Se at its relaxed geometry, as listed in Alexandria.

abc: 4.8414 4.8414 5.5099
angles: 90.00 90.00 90.00
Positions (direct):
Nb 0.0000 0.0000 0.0000
Sn 0.0000 0.0000 0.5000
Pd 0.0000 0.5000 0.0000
Pd 0.5000 0.0000 0.0000
Se 0.5000 0.5000 0.5000

E_tot	-4.7210	eV per atom
energy relative to the elements, uncorrected	0.868	eV/atom
space group	No. 123

Entry 6:
First-principles (GGA-PBE) data for crystalline Nb2Tl2PdSe6 at its relaxed geometry, as listed in Alexandria.

abc: 6.5362 6.5362 8.2166
angles: 96.08 96.08 122.45
Positions (direct):
Nb 0.1359 0.8641 0.0000
Nb 0.8641 0.1359 0.0000
Tl 0.3170 0.6830 0.5000
Tl 0.6830 0.3170 0.5000
Pd 0.5000 0.5000 0.0000
Se 0.1034 0.4622 0.8222
Se 0.2383 0.2383 0.2135
Se 0.4622 0.1034 0.8222
Se 0.5378 0.8966 0.1778
Se 0.7617 0.7617 0.7865
Se 0.8966 0.5378 0.1778

E_tot	-5.1483	eV per atom
energy relative to the elements, uncorrected	-0.514	eV/atom
space group	No. 12

Q: Among the records above, which one has the highest E_tot?
A: NbSnPd2Se